# CsK2TlF | Alexandria via LeMat-Bulk | PBE-GGA | optimized geometry
data_CsK2TlF
_chemical_formula_sum 'Cs1 K2 Tl1 F1'
_cell_length_a 5.5649
_cell_length_b 5.5649
_cell_length_c 6.2056
_cell_angle_alpha 90.00
_cell_angle_beta 90.00
_cell_angle_gamma 90.00
_symmetry_space_group_name_H-M 'P 1'
_symmetry_Int_Tables_number 1
loop_
_symmetry_equiv_pos_as_xyz
'x,y,z'
loop_
_atom_site_label
_atom_site_type_symbol
_atom_site_fract_x
_atom_site_fract_y
_atom_site_fract_z
Cs1 Cs 0.0000 0.0000 0.0000
K1 K 0.0000 0.5000 0.5000
K2 K 0.5000 0.0000 0.5000
Tl1 Tl 0.5000 0.5000 0.0000
F1 F 0.0000 0.0000 0.5000
# uncorrected formation energy = -1.0180 eV/atom
# Fermi-level density of states = 3.0 states/eV/cell
# electronic total energy = -0.1819 Ry per atom
# SG = P4/mmm (123)



# Ti4ReTc5 | Alexandria via LeMat-Bulk | PBE-GGA | optimized geometry
data_Ti4ReTc5
_chemical_formula_sum 'Ti4 Re1 Tc5'
_cell_length_a 3.0918
_cell_length_b 3.0918
_cell_length_c 15.6166
_cell_angle_alpha 90.00
_cell_angle_beta 90.00
_cell_angle_gamma 90.00
_symmetry_space_group_name_H-M 'P 1'
_symmetry_Int_Tables_number 1
loop_
_symmetry_equiv_pos_as_xyz
'x,y,z'
loop_
_atom_site_label
_atom_site_type_symbol
_atom_site_fract_x
_atom_site_fract_y
_atom_site_fract_z
Ti1 Ti 0.0000 0.0000 0.0998
Ti2 Ti 0.0000 0.0000 0.2971
Ti3 Ti 0.0000 0.0000 0.7029
Ti4 Ti 0.0000 0.0000 0.9002
Re1 Re 0.0000 0.0000 0.5000
Tc1 Tc 0.5000 0.5000 0.0000
Tc2 Tc 0.5000 0.5000 0.2011
Tc3 Tc 0.5000 0.5000 0.4003
Tc4 Tc 0.5000 0.5000 0.5997
Tc5 Tc 0.5000 0.5000 0.7989
# ΔE_f = -4.0 eV per formula unit
# Fermi-level density of states = 9.2 states/eV/cell
# electronic total energy = -0.7343 Ry per atom
# SG = P4/mmm (123)



# ScSb2P | Alexandria via LeMat-Bulk | PBE-GGA | optimized geometry
data_ScSb2P
_chemical_formula_sum 'Sc1 Sb2 P1'
_cell_length_a 5.9391
_cell_length_b 5.9391
_cell_length_c 5.9391
_cell_angle_alpha 138.69
_cell_angle_beta 138.69
_cell_angle_gamma 59.85
_symmetry_space_group_name_H-M 'P 1'
_symmetry_Int_Tables_number 1
loop_
_symmetry_equiv_pos_as_xyz
'x,y,z'
loop_
_atom_site_label
_atom_site_type_symbol
_atom_site_fract_x
_atom_site_fract_y
_atom_site_fract_z
Sc1 Sc 0.0000 0.0000 0.0000
Sb1 Sb 0.2500 0.7500 0.5000
Sb2 Sb 0.7500 0.2500 0.5000
P1 P 0.5000 0.5000 0.0000
# uncorrected formation energy = -0.1960 eV/atom
# Fermi-level density of states = 2.6 states/eV/cell
# electronic total energy = -0.3816 Ry per atom
# SG = I4/mmm (139)



# La7Bi | Alexandria via LeMat-Bulk | PBE-GGA | optimized geometry
data_La7Bi
_chemical_formula_sum 'La7 Bi1'
_cell_length_a 7.2792
_cell_length_b 7.2792
_cell_length_c 7.2792
_cell_angle_alpha 60.00
_cell_angle_beta 60.00
_cell_angle_gamma 60.00
_symmetry_space_group_name_H-M 'P 1'
_symmetry_Int_Tables_number 1
loop_
_symmetry_equiv_pos_as_xyz
'x,y,z'
loop_
_atom_site_label
_atom_site_type_symbol
_atom_site_fract_x
_atom_site_fract_y
_atom_site_fract_z
La1 La 0.0000 0.0000 0.0000
La2 La 0.0000 0.0000 0.5000
La3 La 0.0000 0.5000 0.0000
La4 La 0.0000 0.5000 0.5000
La5 La 0.5000 0.0000 0.0000
La6 La 0.5000 0.0000 0.5000
La7 La 0.5000 0.5000 0.0000
Bi1 Bi 0.5000 0.5000 0.5000
# ΔE_f = -1.9 eV per formula unit
# Fermi-level density of states = 10.5 states/eV/cell
# electronic total energy = -0.3696 Ry per atom
# SG = Fm-3m (225)



# SbIBrO2 | Alexandria via LeMat-Bulk | PBE-GGA | optimized geometry
data_SbIBrO2
_chemical_formula_sum 'Sb1 I1 Br1 O2'
_cell_length_a 4.1145
_cell_length_b 4.1145
_cell_length_c 6.9102
_cell_angle_alpha 90.00
_cell_angle_beta 90.00
_cell_angle_gamma 90.00
_symmetry_space_group_name_H-M 'P 1'
_symmetry_Int_Tables_number 1
loop_
_symmetry_equiv_pos_as_xyz
'x,y,z'
loop_
_atom_site_label
_atom_site_type_symbol
_atom_site_fract_x
_atom_site_fract_y
_atom_site_fract_z
Sb1 Sb 0.0000 0.0000 0.0000
I1 I 0.0000 0.0000 0.5000
Br1 Br 0.5000 0.5000 0.5000
O1 O 0.0000 0.5000 0.0000
O2 O 0.5000 0.0000 0.0000
# uncorrected formation energy = -0.3177 eV/atom
# Fermi-level density of states = 2.1 states/eV/cell
# electronic total energy = -0.2771 Ry per atom
# SG = P4/mmm (123)



# LiLaZnGa2 | Alexandria via LeMat-Bulk | PBE-GGA | optimized geometry
data_LiLaZnGa2
_chemical_formula_sum 'Li1 La1 Zn1 Ga2'
_cell_length_a 6.1449
_cell_length_b 6.1449
_cell_length_c 6.1449
_cell_angle_alpha 138.34
_cell_angle_beta 138.34
_cell_angle_gamma 60.38
_symmetry_space_group_name_H-M 'P 1'
_symmetry_Int_Tables_number 1
loop_
_symmetry_equiv_pos_as_xyz
'x,y,z'
loop_
_atom_site_label
_atom_site_type_symbol
_atom_site_fract_x
_atom_site_fract_y
_atom_site_fract_z
Li1 Li 0.0000 0.0000 0.0000
La1 La 0.7500 0.2500 0.5000
Zn1 Zn 0.5000 0.5000 0.0000
Ga1 Ga 0.1324 0.6324 0.5000
Ga2 Ga 0.3676 0.8676 0.5000
# ΔE_f = -2.4 eV per formula unit
# Fermi-level density of states = 2.8 states/eV/cell
# electronic total energy = -0.2430 Ry per atom
# SG = I-4m2 (119)



# Ta4C2Se | Alexandria via LeMat-Bulk | PBE-GGA | optimized geometry
data_Ta4C2Se
_chemical_formula_sum 'Ta4 C2 Se1'
_cell_length_a 6.2145
_cell_length_b 6.2145
_cell_length_c 6.2145
_cell_angle_alpha 135.46
_cell_angle_beta 135.46
_cell_angle_gamma 64.81
_symmetry_space_group_name_H-M 'P 1'
_symmetry_Int_Tables_number 1
loop_
_symmetry_equiv_pos_as_xyz
'x,y,z'
loop_
_atom_site_label
_atom_site_type_symbol
_atom_site_fract_x
_atom_site_fract_y
_atom_site_fract_z
Ta1 Ta 0.0000 0.5000 0.5000
Ta2 Ta 0.2482 0.2482 0.0000
Ta3 Ta 0.5000 0.0000 0.5000
Ta4 Ta 0.7518 0.7518 0.0000
C1 C 0.4348 0.4348 0.0000
C2 C 0.5652 0.5652 0.0000
Se1 Se 0.0000 0.0000 0.0000
# uncorrected formation energy = 0.6712 eV/atom
# Fermi-level density of states = 6.9 states/eV/cell
# electronic total energy = -0.6788 Ry per atom
# SG = I4/mmm (139)



# PrNdHo4 | Alexandria via LeMat-Bulk | PBE-GGA | optimized geometry
data_PrNdHo4
_chemical_formula_sum 'Pr1 Nd1 Ho4'
_cell_length_a 6.6444
_cell_length_b 6.6444
_cell_length_c 6.6444
_cell_angle_alpha 60.00
_cell_angle_beta 60.00
_cell_angle_gamma 60.00
_symmetry_space_group_name_H-M 'P 1'
_symmetry_Int_Tables_number 1
loop_
_symmetry_equiv_pos_as_xyz
'x,y,z'
loop_
_atom_site_label
_atom_site_type_symbol
_atom_site_fract_x
_atom_site_fract_y
_atom_site_fract_z
Pr1 Pr 0.0000 0.0000 0.0000
Nd1 Nd 0.7500 0.7500 0.7500
Ho1 Ho 0.3751 0.3751 0.3751
Ho2 Ho 0.3751 0.3751 0.8747
Ho3 Ho 0.3751 0.8747 0.3751
Ho4 Ho 0.8747 0.3751 0.3751
# ΔE_f = 1.7 eV per formula unit
# Fermi-level density of states = 15.4 states/eV/cell
# electronic total energy = -0.3203 Ry per atom
# SG = F-43m (216)



# BaSn4Hg3 | Alexandria via LeMat-Bulk | PBE-GGA | optimized geometry
data_BaSn4Hg3
_chemical_formula_sum 'Ba1 Sn4 Hg3'
_cell_length_a 5.3456
_cell_length_b 5.3456
_cell_length_c 8.5239
_cell_angle_alpha 90.00
_cell_angle_beta 90.00
_cell_angle_gamma 90.00
_symmetry_space_group_name_H-M 'P 1'
_symmetry_Int_Tables_number 1
loop_
_symmetry_equiv_pos_as_xyz
'x,y,z'
loop_
_atom_site_label
_atom_site_type_symbol
_atom_site_fract_x
_atom_site_fract_y
_atom_site_fract_z
Ba1 Ba 0.0000 0.0000 0.0000
Sn1 Sn 0.0000 0.5000 0.3230
Sn2 Sn 0.0000 0.5000 0.6770
Sn3 Sn 0.5000 0.0000 0.3230
Sn4 Sn 0.5000 0.0000 0.6770
Hg1 Hg 0.0000 0.0000 0.5000
Hg2 Hg 0.5000 0.5000 0.1643
Hg3 Hg 0.5000 0.5000 0.8357
# ΔE_f = -1.3 eV per formula unit
# Fermi-level density of states = 2.5 states/eV/cell
# electronic total energy = -0.1855 Ry per atom
# SG = P4/mmm (123)



# Sr2Ca17 | Alexandria via LeMat-Bulk | PBE-GGA | optimized geometry
data_Sr2Ca17
_chemical_formula_sum 'Sr2 Ca17'
_cell_length_a 9.6577
_cell_length_b 9.6577
_cell_length_c 9.6577
_cell_angle_alpha 81.93
_cell_angle_beta 81.93
_cell_angle_gamma 81.93
_symmetry_space_group_name_H-M 'P 1'
_symmetry_Int_Tables_number 1
loop_
_symmetry_equiv_pos_as_xyz
'x,y,z'
loop_
_atom_site_label
_atom_site_type_symbol
_atom_site_fract_x
_atom_site_fract_y
_atom_site_fract_z
Sr1 Sr 0.1722 0.1722 0.1722
Sr2 Sr 0.8278 0.8278 0.8278
Ca1 Ca 0.0000 0.5000 0.5000
Ca2 Ca 0.1516 0.1516 0.6553
Ca3 Ca 0.1516 0.6553 0.1516
Ca4 Ca 0.1982 0.5000 0.8018
Ca5 Ca 0.1982 0.8018 0.5000
Ca6 Ca 0.3447 0.8484 0.8484
Ca7 Ca 0.4031 0.4031 0.4031
Ca8 Ca 0.5000 0.0000 0.5000
Ca9 Ca 0.5000 0.1982 0.8018
Ca10 Ca 0.5000 0.5000 0.0000
Ca11 Ca 0.5000 0.8018 0.1982
Ca12 Ca 0.5969 0.5969 0.5969
Ca13 Ca 0.6553 0.1516 0.1516
Ca14 Ca 0.8018 0.1982 0.5000
Ca15 Ca 0.8018 0.5000 0.1982
Ca16 Ca 0.8484 0.3447 0.8484
Ca17 Ca 0.8484 0.8484 0.3447
# ΔE_f = 1.7 eV per formula unit
# Fermi-level density of states = 23.0 states/eV/cell
# electronic total energy = -0.1381 Ry per atom
# SG = R-3m (166)



# ScSiO | Alexandria via LeMat-Bulk | PBE-GGA | optimized geometry
data_ScSiO
_chemical_formula_sum 'Sc2 Si2 O2'
_cell_length_a 3.1571
_cell_length_b 3.1571
_cell_length_c 10.4582
_cell_angle_alpha 90.00
_cell_angle_beta 90.00
_cell_angle_gamma 120.00
_symmetry_space_group_name_H-M 'P 1'
_symmetry_Int_Tables_number 1
loop_
_symmetry_equiv_pos_as_xyz
'x,y,z'
loop_
_atom_site_label
_atom_site_type_symbol
_atom_site_fract_x
_atom_site_fract_y
_atom_site_fract_z
Sc1 Sc 0.0000 0.0000 0.2096
Sc2 Sc 0.0000 0.0000 0.7904
Si1 Si 0.3333 0.6667 0.0000
Si2 Si 0.3333 0.6667 0.5000
O1 O 0.3333 0.6667 0.3093
O2 O 0.3333 0.6667 0.6907
# uncorrected formation energy = -1.5640 eV/atom
# Fermi-level density of states = 3.2 states/eV/cell
# electronic total energy = -0.5244 Ry per atom
# SG = P-6m2 (187)



# NbBr | Alexandria via LeMat-Bulk | PBE-GGA | optimized geometry
data_NbBr
_chemical_formula_sum 'Nb4 Br4'
_cell_length_a 7.3844
_cell_length_b 7.3844
_cell_length_c 7.3844
_cell_angle_alpha 109.47
_cell_angle_beta 109.47
_cell_angle_gamma 109.47
_symmetry_space_group_name_H-M 'P 1'
_symmetry_Int_Tables_number 1
loop_
_symmetry_equiv_pos_as_xyz
'x,y,z'
loop_
_atom_site_label
_atom_site_type_symbol
_atom_site_fract_x
_atom_site_fract_y
_atom_site_fract_z
Nb1 Nb 0.0000 0.0000 0.2130
Nb2 Nb 0.0000 0.2130 0.0000
Nb3 Nb 0.2130 0.0000 0.0000
Nb4 Nb 0.7870 0.7870 0.7870
Br1 Br 0.0000 0.0000 0.5936
Br2 Br 0.0000 0.5936 0.0000
Br3 Br 0.4064 0.4064 0.4064
Br4 Br 0.5936 0.0000 0.0000
# uncorrected formation energy = 0.2555 eV/atom
# Fermi-level density of states = 7.8 states/eV/cell
# electronic total energy = -0.4128 Ry per atom
# SG = I-43m (217)